## CrFe3F (PBE with a Hubbard U)

Data for CrFe3F after structural relaxation.

As for the size of the total moment: 10.173 μB/f.u. For the energy above the most stable polymorph in this dataset, the calculation gives 5.21 eV per formula unit.

It has space group Pm-3m (No. 221), with a = 4.915 Å, b = 4.915 Å, c = 4.915 Å, α = 90.00°, β = 90.00° and γ = 90.00°. The inequivalent atoms are Cr at (0.000, 0.000, 0.000), Fe at (0.000, 0.000, 0.500) and F at (0.500, 0.500, 0.500).